Entry w
{
  "formula": "Ho2ScTe",
  "functional": "GGA-PBE",
  "state": "relaxed",
  "cell": [[3.922, 0.000, 0.000], [0.000, 3.922, 0.000], [0.000, 0.000, 7.030]],
  "species": ["Ho", "Ho", "Sc", "Te"],
  "frac_coords": [[0.000, 0.000, 0.245], [0.000, 0.000, 0.755], [0.500, 0.500, 0.500], [0.500, 0.500, 0.000]],
  "dos_at_fermi_per_ev_cell": 3.7
}

Entry x
{
  "formula": "Ho2ScTe",
  "functional": "GGA-PBE",
  "state": "relaxed",
  "cell": [[1.880, 1.085, 10.317], [-1.880, 1.085, 10.317], [0.000, -2.171, 10.317]],
  "species": ["Ho", "Ho", "Sc", "Te"],
  "frac_coords": [[0.099, 0.099, 0.099], [0.901, 0.901, 0.901], [0.000, 0.000, 0.000], [0.500, 0.500, 0.500]],
  "dos_at_fermi_per_ev_cell": 6.0
}

Entry y
{
  "formula": "Ho2ScTe",
  "functional": "GGA-PBE",
  "state": "relaxed",
  "cell": [[1.903, 1.099, 9.456], [-1.903, 1.099, 9.456], [0.000, -2.198, 9.456]],
  "species": ["Ho", "Ho", "Sc", "Te"],
  "frac_coords": [[0.000, 0.000, 0.000], [0.182, 0.182, 0.182], [0.424, 0.424, 0.424], [0.591, 0.591, 0.591]],
  "dos_at_fermi_per_ev_cell": 5.5
}

Stability summary: most stable entry w, least stable entry x.

Entry w
{
  "formula": "Ho3ScTe4",
  "functional": "GGA-PBE",
  "state": "relaxed",
  "cell": [[4.338, -6.079, 0.000], [4.338, 6.079, 0.000], [0.000, 0.000, 4.258]],
  "species": ["Ho", "Ho", "Ho", "Sc", "Te", "Te", "Te", "Te"],
  "frac_coords": [[0.000, 0.000, 0.000], [0.000, 0.500, 0.500], [0.500, 0.000, 0.500], [0.500, 0.500, 0.000], [0.254, 0.746, 0.000], [0.258, 0.258, 0.500], [0.742, 0.742, 0.500], [0.746, 0.254, 0.000]],
  "dos_at_fermi_per_ev_cell": 5.2
}

Entry x
{
  "formula": "Ho3ScTe4",
  "functional": "GGA-PBE",
  "state": "relaxed",
  "cell": [[5.921, 0.000, 0.000], [0.000, 11.847, 0.000], [0.000, 0.000, 6.381]],
  "species": ["Ho", "Ho", "Ho", "Ho", "Ho", "Ho", "Sc", "Sc", "Te", "Te", "Te", "Te", "Te", "Te", "Te", "Te"],
  "frac_coords": [[0.250, 0.000, 0.186], [0.250, 0.250, 0.810], [0.250, 0.500, 0.186], [0.750, 0.000, 0.814], [0.750, 0.500, 0.814], [0.750, 0.750, 0.190], [0.250, 0.750, 0.827], [0.750, 0.250, 0.173], [0.250, 0.250, 0.291], [0.250, 0.506, 0.707], [0.250, 0.750, 0.293], [0.250, 0.994, 0.707], [0.750, 0.006, 0.293], [0.750, 0.250, 0.707], [0.750, 0.494, 0.293], [0.750, 0.750, 0.709]],
  "dos_at_fermi_per_ev_cell": 8.1
}

Stability summary: most stable entry x, least stable entry w.